1.
The following is a DFT calculation (GGA-PBE) of a relaxed Er2MnIn crystal.

Its density of states at the Fermi level is 5.0 states/eV/cell. The space group is No. 225. The calculation puts the energy above the most stable polymorph in this dataset at 0.063 eV/atom.

```
data_Er2MnIn
_cell_length_a 5.152
_cell_length_b 5.152
_cell_length_c 5.152
_cell_angle_alpha 60.00
_cell_angle_beta 60.00
_cell_angle_gamma 60.00
_symmetry_space_group_name_H-M 'P 1'
_symmetry_Int_Tables_number 1
loop_
_symmetry_equiv_pos_as_xyz
'x,y,z'
loop_
_atom_site_label
_atom_site_fract_x
_atom_site_fract_y
_atom_site_fract_z
In1 0.500 0.500 0.500
Mn1 0.000 0.000 0.000
Er1 0.250 0.250 0.250
Er2 0.750 0.750 0.750
```

2.
The following is a DFT calculation (GGA-PBE) of a relaxed Mn2RhPb crystal.

Its density of states at the Fermi level is 3.3 states/eV/cell. The total energy comes out at -7.1673 eV per atom. The space group is No. 123.

```
data_Mn2RhPb
_cell_length_a 4.066
_cell_length_b 4.066
_cell_length_c 4.013
_cell_angle_alpha 90.00
_cell_angle_beta 90.00
_cell_angle_gamma 90.01
_symmetry_space_group_name_H-M 'P 1'
_symmetry_Int_Tables_number 1
loop_
_symmetry_equiv_pos_as_xyz
'x,y,z'
loop_
_atom_site_label
_atom_site_fract_x
_atom_site_fract_y
_atom_site_fract_z
Mn1 0.500 0.500 0.000
Pb1 0.500 0.000 0.500
Rh1 0.000 0.500 0.500
Mn2 0.000 0.000 0.000
```

3.
The following is a DFT calculation (GGA-PBE) of a relaxed KDyIn2I6 crystal.

Its density of states at the Fermi level is 0.0 states/eV/cell. The uncorrected formation energy comes out at -1.034 eV/atom. The space group is No. 146.

```
data_KDyIn2I6
_cell_length_a 8.593
_cell_length_b 8.594
_cell_length_c 8.987
_cell_angle_alpha 61.42
_cell_angle_beta 61.42
_cell_angle_gamma 59.97
_symmetry_space_group_name_H-M 'P 1'
_symmetry_Int_Tables_number 1
loop_
_symmetry_equiv_pos_as_xyz
'x,y,z'
loop_
_atom_site_label
_atom_site_fract_x
_atom_site_fract_y
_atom_site_fract_z
In1 0.520 0.520 0.440
I1 0.416 0.688 0.770
I2 0.975 0.564 0.243
I3 0.126 0.416 0.770
In2 0.012 0.012 0.965
I4 0.218 0.975 0.243
I5 0.564 0.218 0.243
Dy1 0.326 0.326 0.023
K1 0.818 0.818 0.546
I6 0.688 0.126 0.770
```

4.
The following is a DFT calculation (GGA-PBE) of a relaxed KCdBi2Pd2 crystal.

Its density of states at the Fermi level is 1.9 states/eV/cell. The total energy comes out at -3.5576 eV per atom. The space group is No. 123.

```
data_KCdBi2Pd2
_cell_length_a 5.078
_cell_length_b 5.078
_cell_length_c 6.880
_cell_angle_alpha 90.00
_cell_angle_beta 90.00
_cell_angle_gamma 90.00
_symmetry_space_group_name_H-M 'P 1'
_symmetry_Int_Tables_number 1
loop_
_symmetry_equiv_pos_as_xyz
'x,y,z'
loop_
_atom_site_label
_atom_site_fract_x
_atom_site_fract_y
_atom_site_fract_z
Bi1 0.500 0.500 0.230
Pd1 0.500 0.000 0.000
Bi2 0.500 0.500 0.770
Pd2 0.000 0.500 0.000
K1 0.000 0.000 0.500
Cd1 0.000 0.000 0.000
```

5.
The following is a DFT calculation (GGA-PBE) of a relaxed FeRe2Ag crystal.

Its density of states at the Fermi level is 8.9 states/eV/cell. The space group is No. 122. The calculation puts the energy above the most stable polymorph in this dataset at 0.648 eV/atom.

```
data_FeRe2Ag
_cell_length_a 7.099
_cell_length_b 7.099
_cell_length_c 5.620
_cell_angle_alpha 50.83
_cell_angle_beta 50.83
_cell_angle_gamma 90.00
_symmetry_space_group_name_H-M 'P 1'
_symmetry_Int_Tables_number 1
loop_
_symmetry_equiv_pos_as_xyz
'x,y,z'
loop_
_atom_site_label
_atom_site_fract_x
_atom_site_fract_y
_atom_site_fract_z
Re1 0.875 0.812 0.750
Re2 0.188 0.625 0.250
Fe1 0.500 0.500 0.000
Fe2 0.250 0.750 0.500
Re3 0.375 0.438 0.750
Ag1 0.750 0.250 0.500
Ag2 0.000 0.000 0.000
Re4 0.562 0.125 0.250
```

6.
The following is a DFT calculation (GGA-PBE) of a relaxed LaTbH2 crystal.

Its density of states at the Fermi level is 2.4 states/eV/cell. The space group is No. 160. The calculation puts the energy above the most stable polymorph in this dataset at 0.087 eV/atom.

```
data_LaTbH2
_cell_length_a 3.559
_cell_length_b 3.559
_cell_length_c 6.478
_cell_angle_alpha 74.06
_cell_angle_beta 74.06
_cell_angle_gamma 60.00
_symmetry_space_group_name_H-M 'P 1'
_symmetry_Int_Tables_number 1
loop_
_symmetry_equiv_pos_as_xyz
'x,y,z'
loop_
_atom_site_label
_atom_site_fract_x
_atom_site_fract_y
_atom_site_fract_z
La1 0.492 0.492 0.523
H1 0.269 0.269 0.193
H2 0.070 0.070 0.789
Tb1 0.668 0.668 0.995
```

7.
The following is a DFT calculation (GGA-PBE) of a relaxed BaNaCa14 crystal.

Its density of states at the Fermi level is 16.2 states/eV/cell. The total energy comes out at -1.9308 eV per atom. The space group is No. 38.

```
data_BaNaCa14
_cell_length_a 7.855
_cell_length_b 7.855
_cell_length_c 12.927
_cell_angle_alpha 90.00
_cell_angle_beta 90.00
_cell_angle_gamma 120.53
_symmetry_space_group_name_H-M 'P 1'
_symmetry_Int_Tables_number 1
loop_
_symmetry_equiv_pos_as_xyz
'x,y,z'
loop_
_atom_site_label
_atom_site_fract_x
_atom_site_fract_y
_atom_site_fract_z
Ca1 0.038 0.460 0.500
Ca2 0.873 0.127 0.244
Ca3 0.377 0.125 0.246
Ba1 0.039 0.961 0.500
Ca4 0.873 0.127 0.756
Ca5 0.540 0.962 0.500
Ca6 0.709 0.291 0.000
Ca7 0.375 0.625 0.254
Ca8 0.212 0.788 0.000
Ca9 0.708 0.788 0.000
Ca10 0.375 0.625 0.746
Ca11 0.875 0.623 0.246
Ca12 0.212 0.292 0.000
Ca13 0.875 0.623 0.754
Ca14 0.377 0.125 0.754
Na1 0.540 0.460 0.500
```

8.
The following is a DFT calculation (GGA-PBE) of a relaxed LiSb2P2 crystal.

Its density of states at the Fermi level is 3.7 states/eV/cell. The uncorrected formation energy comes out at 0.104 eV/atom. The space group is No. 129. The calculation puts the energy above the most stable polymorph in this dataset at 0.029 eV/atom.

```
data_LiSb2P2
_cell_length_a 5.306
_cell_length_b 5.306
_cell_length_c 8.311
_cell_angle_alpha 90.00
_cell_angle_beta 90.00
_cell_angle_gamma 90.00
_symmetry_space_group_name_H-M 'P 1'
_symmetry_Int_Tables_number 1
loop_
_symmetry_equiv_pos_as_xyz
'x,y,z'
loop_
_atom_site_label
_atom_site_fract_x
_atom_site_fract_y
_atom_site_fract_z
Sb1 0.500 0.500 0.500
Sb2 0.000 0.000 0.500
Li1 0.500 0.000 0.260
Li2 0.000 0.500 0.740
P1 0.000 0.500 0.426
P2 0.500 0.000 0.574
P3 0.500 0.500 0.000
Sb3 0.000 0.500 0.087
P4 0.000 0.000 0.000
Sb4 0.500 0.000 0.913
```

9.
The following is a DFT calculation (GGA-PBE) of a relaxed KNiMo crystal.

Its density of states at the Fermi level is 2.8 states/eV/cell. The space group is No. 187. The calculation puts the energy above the most stable polymorph in this dataset at 0.688 eV/atom.

```
data_KNiMo
_cell_length_a 4.916
_cell_length_b 4.916
_cell_length_c 2.566
_cell_angle_alpha 90.00
_cell_angle_beta 90.00
_cell_angle_gamma 120.00
_symmetry_space_group_name_H-M 'P 1'
_symmetry_Int_Tables_number 1
loop_
_symmetry_equiv_pos_as_xyz
'x,y,z'
loop_
_atom_site_label
_atom_site_fract_x
_atom_site_fract_y
_atom_site_fract_z
Ni1 0.333 0.667 0.666
K1 0.000 0.000 0.166
Mo1 0.667 0.333 0.167
```

10.
The following is a DFT calculation (GGA-PBE) of a relaxed Th4TeAsP2 crystal.

Its density of states at the Fermi level is 4.8 states/eV/cell. The uncorrected formation energy comes out at -1.405 eV/atom. The space group is No. 10.

```
data_Th4TeAsP2
_cell_length_a 4.210
_cell_length_b 7.457
_cell_length_c 7.334
_cell_angle_alpha 71.05
_cell_angle_beta 90.00
_cell_angle_gamma 90.00
_symmetry_space_group_name_H-M 'P 1'
_symmetry_Int_Tables_number 1
loop_
_symmetry_equiv_pos_as_xyz
'x,y,z'
loop_
_atom_site_label
_atom_site_fract_x
_atom_site_fract_y
_atom_site_fract_z
P1 0.000 0.000 0.000
Th1 0.000 0.772 0.756
Te1 0.000 0.500 0.500
Th2 0.500 0.218 0.773
Th3 0.000 0.228 0.244
Th4 0.500 0.782 0.227
As1 0.500 0.500 0.000
P2 0.500 0.000 0.500
```

11.
The following is a DFT calculation (GGA-PBE) of a relaxed ScPAu crystal.

Its density of states at the Fermi level is 1.3 states/eV/cell. The total energy comes out at -5.5936 eV per atom. The space group is No. 107.

```
data_ScPAu
_cell_length_a 5.242
_cell_length_b 5.242
_cell_length_c 5.242
_cell_angle_alpha 140.56
_cell_angle_beta 140.56
_cell_angle_gamma 57.00
_symmetry_space_group_name_H-M 'P 1'
_symmetry_Int_Tables_number 1
loop_
_symmetry_equiv_pos_as_xyz
'x,y,z'
loop_
_atom_site_label
_atom_site_fract_x
_atom_site_fract_y
_atom_site_fract_z
Au1 0.009 0.009 0.000
Sc1 0.699 0.699 0.000
P1 0.291 0.291 0.000
```

12.
The following is a DFT calculation (GGA-PBE) of a relaxed TaRuCl crystal.

Its density of states at the Fermi level is 1.5 states/eV/cell. The uncorrected formation energy comes out at -0.044 eV/atom. The space group is No. 42. The calculation puts the energy above the most stable polymorph in this dataset at 0.486 eV/atom.

```
data_TaRuCl
_cell_length_a 6.667
_cell_length_b 6.665
_cell_length_c 3.045
_cell_angle_alpha 76.84
_cell_angle_beta 76.75
_cell_angle_gamma 26.41
_symmetry_space_group_name_H-M 'P 1'
_symmetry_Int_Tables_number 1
loop_
_symmetry_equiv_pos_as_xyz
'x,y,z'
loop_
_atom_site_label
_atom_site_fract_x
_atom_site_fract_y
_atom_site_fract_z
Ta1 0.678 0.678 0.322
Ru1 0.292 0.292 0.708
Cl1 0.031 0.031 0.969
```

Copy entry 1 word for word.
The following is a DFT calculation (GGA-PBE) of a relaxed Er2MnIn crystal.

Its density of states at the Fermi level is 5.0 states/eV/cell. The space group is No. 225. The calculation puts the energy above the most stable polymorph in this dataset at 0.063 eV/atom.

```
data_Er2MnIn
_cell_length_a 5.152
_cell_length_b 5.152
_cell_length_c 5.152
_cell_angle_alpha 60.00
_cell_angle_beta 60.00
_cell_angle_gamma 60.00
_symmetry_space_group_name_H-M 'P 1'
_symmetry_Int_Tables_number 1
loop_
_symmetry_equiv_pos_as_xyz
'x,y,z'
loop_
_atom_site_label
_atom_site_fract_x
_atom_site_fract_y
_atom_site_fract_z
In1 0.500 0.500 0.500
Mn1 0.000 0.000 0.000
Er1 0.250 0.250 0.250
Er2 0.750 0.750 0.750
```